No. 1
PBE Nd2ThCd, optimized geometry; DOS(E_F) = 3.4 states/eV per cell; crystal system = tetragonal; ΔE to the lowest computed polymorph = 0.000 eV per atom; space-group type = P4/mmm
1.0
3.669 0.000 0.000
0.000 3.669 0.000
0.000 0.000 9.151
Nd Cd Th
2 1 1
Direct
0.000 0.000 0.765
0.000 0.000 0.235
0.500 0.500 0.000
0.500 0.500 0.500

=====

No. 2
PBE EuEr3P, optimized geometry; DOS(E_F) = 11.6 states/eV per cell; total DFT energy (no corrections) = -0.46086 Ry/atom; crystal system = cubic; space-group type = Pm-3m
1.0
-3.893 3.633 -0.869
-3.071 -2.398 3.732
2.126 3.187 3.798
Er P Eu
3 1 1
Direct
0.000 0.500 0.000
0.000 0.000 0.500
0.500 0.000 0.000
0.000 0.000 0.000
0.500 0.500 0.500

=====

No. 3
PBE ThHgCl14, optimized geometry; ΔE_f (raw) = -0.700 eV/atom; crystal system = monoclinic; space-group type = Cm
1.0
8.855 2.045 -1.235
-0.361 9.081 1.235
-1.438 1.098 8.775
Th Cl Hg
1 14 1
Direct
0.714 0.286 0.054
0.200 0.278 0.284
0.152 0.848 0.747
0.517 0.104 0.047
0.896 0.483 0.047
0.517 0.483 0.773
0.952 0.191 0.874
0.809 0.048 0.874
0.869 0.599 0.442
0.324 0.676 0.429
0.199 0.801 0.196
0.722 0.800 0.284
0.856 0.144 0.360
0.401 0.131 0.442
0.533 0.467 0.188
0.341 0.659 0.959

=====

No. 4
PBE RbBa2In2Br7, optimized geometry; DOS(E_F) = 0.0 states/eV per cell; ΔE_f (raw) = -1.560 eV/atom; crystal system = orthorhombic; space-group type = Imm2
1.0
6.506 0.000 0.000
0.000 6.480 0.000
-3.253 -3.240 13.306
Rb Br Ba In
1 7 2 2
Direct
0.000 0.164 0.000
0.738 0.731 0.476
0.368 0.866 0.737
0.500 0.358 0.000
0.102 0.607 0.204
0.898 0.402 0.796
0.262 0.255 0.524
0.632 0.129 0.263
0.384 0.384 0.768
0.616 0.616 0.232
0.250 0.743 0.499
0.750 0.244 0.501

=====

No. 5
PBE Na3Tm2USe6, optimized geometry; DOS(E_F) = 8.6 states/eV per cell; ΔE_f (raw) = -1.501 eV/atom; crystal system = monoclinic; space-group type = C2/m
1.0
-2.658 3.458 -5.667
5.819 -4.094 -0.714
-5.127 -5.321 0.663
Na Tm Se U
3 2 6 1
Direct
0.500 0.500 0.500
0.834 0.166 0.500
0.166 0.834 0.500
0.333 0.667 0.000
0.667 0.333 0.000
0.583 0.923 0.770
0.736 0.736 0.230
0.417 0.077 0.230
0.923 0.583 0.770
0.264 0.264 0.770
0.077 0.417 0.230
0.000 0.000 0.000

=====

No. 6
PBE Sr4LiCl, optimized geometry; DOS(E_F) = 9.3 states/eV per cell; ΔE_f (raw) = 0.113 eV/atom; crystal system = cubic; space-group type = F-43m
1.0
0.000 5.488 5.488
5.488 0.000 5.488
5.488 5.488 0.000
Sr Cl Li
4 1 1
Direct
0.374 0.374 0.374
0.877 0.374 0.374
0.374 0.877 0.374
0.374 0.374 0.877
0.750 0.750 0.750
0.000 0.000 0.000

=====

No. 7
PBE Pm4PrNd2Tm2, optimized geometry; DOS(E_F) = 14.0 states/eV per cell; total DFT energy (no corrections) = -0.34368 Ry/atom; crystal system = monoclinic; space-group type = C2/m
1.0
-2.275 3.404 3.099
5.498 -4.132 4.322
3.879 6.025 -3.771
Pm Nd Tm Pr
4 2 2 1
Direct
0.444 0.889 0.669
0.778 0.556 0.670
0.222 0.444 0.330
0.556 0.111 0.331
0.888 0.776 0.332
0.112 0.224 0.668
0.668 0.337 0.000
0.332 0.663 0.000
0.000 0.000 0.000

=====

No. 8
PBE ZrPaCu, optimized geometry; DOS(E_F) = 4.5 states/eV per cell; crystal system = tetragonal; ΔE to the lowest computed polymorph = 0.000 eV per atom; space-group type = P4/nmm
1.0
-1.038 -0.725 3.019
2.155 -2.460 0.150
7.697 7.005 4.329
Cu Pa Zr
2 2 2
Direct
0.000 0.500 0.945
0.500 0.000 0.055
0.000 0.500 0.601
0.500 0.000 0.399
0.000 0.500 0.198
0.500 0.000 0.802